# 1
Computed, not measured: a geometry-optimized HgPPtCl2 structure at the PBE level of DFT.

```
data_HgPPtCl2
_chemical_formula_sum 'Hg1 P1 Pt1 Cl2'
_cell_length_a 5.007
_cell_length_b 5.007
_cell_length_c 5.287
_cell_angle_alpha 90.00
_cell_angle_beta 90.00
_cell_angle_gamma 90.00
_space_group_name_H-M_alt 'P 1'
_space_group_IT_number 1
_space_group_name_Hall 'P 1'
loop_
_atom_site_label
_atom_site_fract_x
_atom_site_fract_y
_atom_site_fract_z
_atom_site_occupancy
Hg1 0.000 0.000 0.000 1
P1 0.000 0.000 0.500 1
Pt1 0.500 0.500 0.500 1
Cl1 0.000 0.500 0.000 1
Cl2 0.500 0.000 0.000 1
```

SG ... P4/mmm
Raw total energy ... -10.02 eV/f.u.
Excess energy over the best structure of this formula in the dataset ... 457 kJ/mol of formula units
Calculated volume ... 132.6 Å³ per cell


# 2
Computed, not measured: a geometry-optimized Rb2HgPCl structure at the PBE level of DFT.

```
data_Rb2HgPCl
_chemical_formula_sum 'Rb2 Hg1 P1 Cl1'
_cell_length_a 6.837
_cell_length_b 6.837
_cell_length_c 4.662
_cell_angle_alpha 90.00
_cell_angle_beta 90.00
_cell_angle_gamma 90.00
_space_group_name_H-M_alt 'P 1'
_space_group_IT_number 1
_space_group_name_Hall 'P 1'
loop_
_atom_site_label
_atom_site_fract_x
_atom_site_fract_y
_atom_site_fract_z
_atom_site_occupancy
Rb1 0.000 0.500 0.000 1
Rb2 0.500 0.000 0.000 1
Hg1 0.000 0.000 0.000 1
P1 0.000 0.000 0.500 1
Cl1 0.500 0.500 0.500 1
```

SG ... P4/mmm
Raw total energy ... -12.08 eV/f.u.
Calculated volume ... 217.9 Å³ per cell


# 3
Computed, not measured: a geometry-optimized RbHgP2Cl structure at the PBE level of DFT.

```
data_RbHgP2Cl
_chemical_formula_sum 'Rb1 Hg1 P2 Cl1'
_cell_length_a 7.617
_cell_length_b 7.617
_cell_length_c 6.001
_cell_angle_alpha 90.00
_cell_angle_beta 90.00
_cell_angle_gamma 90.00
_space_group_name_H-M_alt 'P 1'
_space_group_IT_number 1
_space_group_name_Hall 'P 1'
loop_
_atom_site_label
_atom_site_fract_x
_atom_site_fract_y
_atom_site_fract_z
_atom_site_occupancy
Rb1 0.000 0.000 0.000 1
Hg1 0.500 0.500 0.500 1
P1 0.000 0.500 0.000 1
P2 0.500 0.000 0.000 1
Cl1 0.000 0.000 0.500 1
```

SG ... P4/mmm
Raw total energy ... -9.85 eV/f.u.
Excess energy over the best structure of this formula in the dataset ... 297 kJ/mol of formula units
Calculated volume ... 348.1 Å³ per cell


# 4
Computed, not measured: a geometry-optimized RbHgP2Cl structure at the PBE level of DFT.

```
data_RbHgP2Cl
_chemical_formula_sum 'Rb1 Hg1 P2 Cl1'
_cell_length_a 5.013
_cell_length_b 5.013
_cell_length_c 6.463
_cell_angle_alpha 90.00
_cell_angle_beta 90.00
_cell_angle_gamma 90.00
_space_group_name_H-M_alt 'P 1'
_space_group_IT_number 1
_space_group_name_Hall 'P 1'
loop_
_atom_site_label
_atom_site_fract_x
_atom_site_fract_y
_atom_site_fract_z
_atom_site_occupancy
Rb1 0.000 0.000 0.000 1
Hg1 0.500 0.500 0.500 1
P1 0.000 0.500 0.500 1
P2 0.500 0.000 0.500 1
Cl1 0.500 0.500 0.000 1
```

SG ... P4/mmm
Raw total energy ... -12.93 eV/f.u.
Excess energy over the best structure of this formula in the dataset ... 0 kJ/mol of formula units
Calculated volume ... 162.4 Å³ per cell


# 5
Computed, not measured: a geometry-optimized HgP2RhCl structure at the PBE level of DFT.

```
data_HgP2RhCl
_chemical_formula_sum 'Hg1 P2 Rh1 Cl1'
_cell_length_a 4.587
_cell_length_b 4.587
_cell_length_c 5.152
_cell_angle_alpha 90.00
_cell_angle_beta 90.00
_cell_angle_gamma 90.00
_space_group_name_H-M_alt 'P 1'
_space_group_IT_number 1
_space_group_name_Hall 'P 1'
loop_
_atom_site_label
_atom_site_fract_x
_atom_site_fract_y
_atom_site_fract_z
_atom_site_occupancy
Hg1 0.000 0.000 0.000 1
P1 0.000 0.500 0.500 1
P2 0.500 0.000 0.500 1
Rh1 0.500 0.500 0.500 1
Cl1 0.500 0.500 0.000 1
```

SG ... P4/mmm
Raw total energy ... -18.67 eV/f.u.
Excess energy over the best structure of this formula in the dataset ... 0 kJ/mol of formula units
Calculated volume ... 108.4 Å³ per cell


# 6
Computed, not measured: a geometry-optimized HgP2RhCl structure at the PBE level of DFT.

```
data_HgP2RhCl
_chemical_formula_sum 'Hg1 P2 Rh1 Cl1'
_cell_length_a 4.909
_cell_length_b 4.909
_cell_length_c 5.237
_cell_angle_alpha 90.00
_cell_angle_beta 90.00
_cell_angle_gamma 90.00
_space_group_name_H-M_alt 'P 1'
_space_group_IT_number 1
_space_group_name_Hall 'P 1'
loop_
_atom_site_label
_atom_site_fract_x
_atom_site_fract_y
_atom_site_fract_z
_atom_site_occupancy
Hg1 0.000 0.000 0.000 1
P1 0.000 0.500 0.000 1
P2 0.500 0.000 0.000 1
Rh1 0.500 0.500 0.500 1
Cl1 0.000 0.000 0.500 1
```

SG ... P4/mmm
Raw total energy ... -12.90 eV/f.u.
Excess energy over the best structure of this formula in the dataset ... 557 kJ/mol of formula units
Calculated volume ... 126.2 Å³ per cell


# 7
Computed, not measured: a geometry-optimized HgP2RuCl structure at the PBE level of DFT.

```
data_HgP2RuCl
_chemical_formula_sum 'Hg1 P2 Ru1 Cl1'
_cell_length_a 4.561
_cell_length_b 4.561
_cell_length_c 5.155
_cell_angle_alpha 90.00
_cell_angle_beta 90.00
_cell_angle_gamma 90.00
_space_group_name_H-M_alt 'P 1'
_space_group_IT_number 1
_space_group_name_Hall 'P 1'
loop_
_atom_site_label
_atom_site_fract_x
_atom_site_fract_y
_atom_site_fract_z
_atom_site_occupancy
Hg1 0.000 0.000 0.000 1
P1 0.000 0.500 0.500 1
P2 0.500 0.000 0.500 1
Ru1 0.500 0.500 0.500 1
Cl1 0.500 0.500 0.000 1
```

SG ... P4/mmm
Raw total energy ... -20.71 eV/f.u.
Excess energy over the best structure of this formula in the dataset ... 0 kJ/mol of formula units
Calculated volume ... 107.2 Å³ per cell


# 8
Computed, not measured: a geometry-optimized HgP2RuCl structure at the PBE level of DFT.

```
data_HgP2RuCl
_chemical_formula_sum 'Hg1 P2 Ru1 Cl1'
_cell_length_a 4.931
_cell_length_b 4.931
_cell_length_c 5.243
_cell_angle_alpha 90.00
_cell_angle_beta 90.00
_cell_angle_gamma 90.00
_space_group_name_H-M_alt 'P 1'
_space_group_IT_number 1
_space_group_name_Hall 'P 1'
loop_
_atom_site_label
_atom_site_fract_x
_atom_site_fract_y
_atom_site_fract_z
_atom_site_occupancy
Hg1 0.000 0.000 0.000 1
P1 0.000 0.500 0.000 1
P2 0.500 0.000 0.000 1
Ru1 0.500 0.500 0.500 1
Cl1 0.000 0.000 0.500 1
```

SG ... P4/mmm
Raw total energy ... -14.07 eV/f.u.
Excess energy over the best structure of this formula in the dataset ... 640 kJ/mol of formula units
Calculated volume ... 127.5 Å³ per cell


# 9
Computed, not measured: a geometry-optimized Hg4PSCl2 structure at the PBE level of DFT.

```
data_Hg4PSCl2
_chemical_formula_sum 'Hg8 P2 S2 Cl4'
_cell_length_a 8.465
_cell_length_b 8.465
_cell_length_c 8.465
_cell_angle_alpha 124.74
_cell_angle_beta 124.37
_cell_angle_gamma 82.27
_space_group_name_H-M_alt 'P 1'
_space_group_IT_number 1
_space_group_name_Hall 'P 1'
loop_
_atom_site_label
_atom_site_fract_x
_atom_site_fract_y
_atom_site_fract_z
_atom_site_occupancy
Hg1 0.254 0.237 0.018 1
Hg2 0.281 0.763 0.518 1
Hg3 0.289 0.271 0.481 1
Hg4 0.289 0.808 0.019 1
Hg5 0.711 0.192 0.981 1
Hg6 0.711 0.729 0.519 1
Hg7 0.719 0.237 0.482 1
Hg8 0.746 0.763 0.982 1
P1 0.500 0.000 0.000 1
P2 0.500 0.500 0.500 1
S1 0.000 0.000 0.000 1
S2 0.500 0.000 0.500 1
Cl1 0.000 0.000 0.500 1
Cl2 0.000 0.500 0.000 1
Cl3 0.000 0.500 0.500 1
Cl4 0.500 0.500 0.000 1
```

SG ... Imma
Raw total energy ... -15.06 eV/f.u.
Calculated volume ... 395.4 Å³ per cell


# 10
Computed, not measured: a geometry-optimized HgPSCl2 structure at the PBE level of DFT.

```
data_HgPSCl2
_chemical_formula_sum 'Hg1 P1 S1 Cl2'
_cell_length_a 5.004
_cell_length_b 5.004
_cell_length_c 4.704
_cell_angle_alpha 90.00
_cell_angle_beta 90.00
_cell_angle_gamma 90.00
_space_group_name_H-M_alt 'P 1'
_space_group_IT_number 1
_space_group_name_Hall 'P 1'
loop_
_atom_site_label
_atom_site_fract_x
_atom_site_fract_y
_atom_site_fract_z
_atom_site_occupancy
Hg1 0.000 0.000 0.000 1
P1 0.500 0.500 0.000 1
S1 0.500 0.500 0.500 1
Cl1 0.000 0.500 0.500 1
Cl2 0.500 0.000 0.500 1
```

SG ... P4/mmm
Raw total energy ... -11.19 eV/f.u.
Excess energy over the best structure of this formula in the dataset ... 193 kJ/mol of formula units
Calculated volume ... 117.8 Å³ per cell


# 11
Computed, not measured: a geometry-optimized HgPSCl2 structure at the PBE level of DFT.

```
data_HgPSCl2
_chemical_formula_sum 'Hg1 P1 S1 Cl2'
_cell_length_a 4.787
_cell_length_b 4.787
_cell_length_c 4.798
_cell_angle_alpha 90.00
_cell_angle_beta 90.00
_cell_angle_gamma 90.00
_space_group_name_H-M_alt 'P 1'
_space_group_IT_number 1
_space_group_name_Hall 'P 1'
loop_
_atom_site_label
_atom_site_fract_x
_atom_site_fract_y
_atom_site_fract_z
_atom_site_occupancy
Hg1 0.000 0.000 0.000 1
P1 0.500 0.500 0.500 1
S1 0.500 0.500 0.000 1
Cl1 0.000 0.500 0.500 1
Cl2 0.500 0.000 0.500 1
```

SG ... P4/mmm
Raw total energy ... -13.19 eV/f.u.
Excess energy over the best structure of this formula in the dataset ... 0 kJ/mol of formula units
Calculated volume ... 109.9 Å³ per cell


# 12
Computed, not measured: a geometry-optimized HgPSCl2 structure at the PBE level of DFT.

```
data_HgPSCl2
_chemical_formula_sum 'Hg1 P1 S1 Cl2'
_cell_length_a 4.975
_cell_length_b 4.975
_cell_length_c 5.370
_cell_angle_alpha 90.00
_cell_angle_beta 90.00
_cell_angle_gamma 90.00
_space_group_name_H-M_alt 'P 1'
_space_group_IT_number 1
_space_group_name_Hall 'P 1'
loop_
_atom_site_label
_atom_site_fract_x
_atom_site_fract_y
_atom_site_fract_z
_atom_site_occupancy
Hg1 0.000 0.000 0.000 1
P1 0.000 0.000 0.500 1
S1 0.500 0.500 0.500 1
Cl1 0.000 0.500 0.000 1
Cl2 0.500 0.000 0.000 1
```

SG ... P4/mmm
Raw total energy ... -9.09 eV/f.u.
Excess energy over the best structure of this formula in the dataset ... 395 kJ/mol of formula units
Calculated volume ... 132.9 Å³ per cell


no.,spin magnetization (μB/atom)
1,0.320
2,0.000
3,1.176
4,0.360
5,0.000
6,0.181
7,0.000
8,0.472
9,0.000
10,0.123
11,0.000
12,0.000